VASP calculation (PBE) on a relaxed CuTcIr2 crystal.

Lattice parameters (Å, degrees): 8.815 8.815 8.815 17.88 17.88 17.88
Element x y z (fractional)
1 Cu 0.000 0.000 0.000
2 Tc 0.500 0.500 0.500
3 Ir 0.250 0.250 0.250
4 Ir 0.750 0.750 0.750

- energy relative to the lowest polymorph listed for this composition (kJ/mol of atoms) = 5.4
- symmetry = R-3m, No. 166
- spin magnetization (μB/f.u.) = 0.00
- uncorrected energy (eV/atom) = -8.066
- DFT formation energy (meV per atom) = -20
- V (Å³/atom) = 14.1